# Ba2FeAg

A relaxed structure of Ba2FeAg (PBE-GGA, Alexandria via LeMat-Bulk).

abc: 8.818 8.818 8.818
angles: 30.48 30.48 30.48
Last column: magnetic moment on the atom in μB.
Positions (direct):
Ba1 0.038 0.038 0.038  -0.03
Ba2 0.212 0.212 0.212  -0.03
Fe1 0.458 0.458 0.458  2.88
Ag1 0.792 0.792 0.792  0.04

- formation energy (meV per atom) = 224
- SG = R3m

---

# K2TiBr4

A relaxed structure of K2TiBr4 (PBE-GGA, Alexandria via LeMat-Bulk).

abc: 4.201 8.757 8.480
angles: 132.08 104.34 90.00
Last column: magnetic moment on the atom in μB.
Positions (direct):
Br1 0.058 0.779 0.116  0.00
Br2 0.645 0.237 0.290  -0.01
Br3 0.355 0.763 0.710  -0.01
Br4 0.942 0.221 0.884  0.00
K1 0.659 0.642 0.318  0.00
K2 0.341 0.358 0.682  0.00
Ti1 0.000 0.000 0.000  1.66

- SG = C2/m
- formation energy without anion corrections (eV/atom) = -1.387

---

# Hf2Sc

A relaxed structure of Hf2Sc (PBE-GGA, Alexandria via LeMat-Bulk).

abc: 5.589 5.589 5.994
angles: 89.81 118.12 119.87
Positions (direct):
Sc1 0.338 0.088 0.250
Sc2 0.662 0.912 0.750
Hf1 0.990 0.414 0.245
Hf2 0.010 0.586 0.755
Hf3 0.669 0.745 0.255
Hf4 0.331 0.255 0.745

- formation energy (meV per atom) = -10
- SG = C2/c

---

Number 1: offset from the most stable computed form 0 meV per atom, density of states at the Fermi level 4.34 states/eV/f.u.. Number 2: offset from the most stable computed form 5 meV per atom, density of states at the Fermi level 4.34 states/eV/f.u.. Number 3: offset from the most stable computed form 0 meV per atom, density of states at the Fermi level 2.85 states/eV/f.u..